(1)
Computed, not measured: an optimized crystal structure of NaHPd3 at the PBE-GGA level of DFT.

Geometry as POSCAR:
```
NaHPd3
1.0
2.8224 0.0000 0.0000
0.0000 5.6843 0.0000
0.0000 0.0000 8.3723
Na H Pd
2 2 6
direct
0.0000 0.0000 0.0000 Na
0.0000 0.5000 0.5000 Na
0.0000 0.0000 0.2933 H
0.0000 0.5000 0.7933 H
0.0000 0.0000 0.5137 Pd
0.0000 0.5000 0.0137 Pd
0.5000 0.2489 0.2539 Pd
0.5000 0.2511 0.7539 Pd
0.5000 0.7489 0.7539 Pd
0.5000 0.7511 0.2539 Pd
```



(2)
Computed, not measured: an optimized crystal structure of NaHPd3 at the PBE-GGA level of DFT.

Geometry as POSCAR:
```
NaHPd3
1.0
7.4285 -1.3974 0.0000
7.4285 1.3974 0.0000
-0.9116 0.0000 6.7952
Na H Pd
2 2 6
direct
0.2111 0.2111 0.3124 Na
0.7889 0.7889 0.6876 Na
0.4149 0.4149 0.1692 H
0.5851 0.5851 0.8308 H
0.0240 0.0240 0.2002 Pd
0.1661 0.1661 0.9151 Pd
0.4089 0.4089 0.4410 Pd
0.5911 0.5911 0.5590 Pd
0.8339 0.8339 0.0849 Pd
0.9760 0.9760 0.7998 Pd
```



(3)
Computed, not measured: an optimized crystal structure of NaH4Pd3 at the PBE-GGA level of DFT.

Geometry as POSCAR:
```
NaH4Pd3
1.0
5.3565 0.0000 0.0000
0.0000 5.3565 0.0000
0.0000 0.0000 5.3565
Na H Pd
2 8 6
direct
0.0000 0.0000 0.0000 Na
0.5000 0.5000 0.5000 Na
0.2500 0.2500 0.2500 H
0.2500 0.2500 0.7500 H
0.2500 0.7500 0.2500 H
0.2500 0.7500 0.7500 H
0.7500 0.2500 0.2500 H
0.7500 0.2500 0.7500 H
0.7500 0.7500 0.2500 H
0.7500 0.7500 0.7500 H
0.0000 0.2500 0.5000 Pd
0.0000 0.7500 0.5000 Pd
0.2500 0.5000 0.0000 Pd
0.5000 0.0000 0.2500 Pd
0.5000 0.0000 0.7500 Pd
0.7500 0.5000 0.0000 Pd
```



(4)
Computed, not measured: an optimized crystal structure of Na5H4Pd2 at the PBE-GGA level of DFT.

Geometry as POSCAR:
```
Na5H4Pd2
1.0
9.3741 -1.6304 0.0000
9.3741 1.6304 0.0000
-0.3407 0.0000 5.7042
Na H Pd
5 4 2
direct
0.0000 0.0000 0.0000 Na
0.3302 0.3302 0.0860 Na
0.4208 0.4208 0.5703 Na
0.5792 0.5792 0.4297 Na
0.6698 0.6698 0.9140 Na
0.1286 0.1286 0.1897 H
0.4652 0.4652 0.2338 H
0.5348 0.5348 0.7662 H
0.8714 0.8714 0.8103 H
0.2039 0.2039 0.3711 Pd
0.7961 0.7961 0.6289 Pd
```



(5)
Computed, not measured: an optimized crystal structure of Na3H3Pd2 at the PBE-GGA level of DFT.

Geometry as POSCAR:
```
Na3H3Pd2
1.0
5.3946 0.0000 0.0000
0.0000 10.6233 0.0000
0.0000 0.0000 8.4363
Na H Pd
12 12 8
direct
0.0805 0.0736 0.1634 Na
0.0805 0.4264 0.1634 Na
0.1194 0.2500 0.8400 Na
0.3806 0.7500 0.3400 Na
0.4195 0.5736 0.6634 Na
0.4195 0.9264 0.6634 Na
0.5805 0.0736 0.3366 Na
0.5805 0.4264 0.3366 Na
0.6194 0.2500 0.6600 Na
0.8806 0.7500 0.1600 Na
0.9195 0.5736 0.8366 Na
0.9195 0.9264 0.8366 Na
0.1813 0.5309 0.4246 H
0.1813 0.9691 0.4246 H
0.2217 0.7500 0.9677 H
0.2783 0.2500 0.4677 H
0.3187 0.0309 0.9246 H
0.3187 0.4691 0.9246 H
0.6813 0.5309 0.0754 H
0.6813 0.9691 0.0754 H
0.7217 0.7500 0.5323 H
0.7783 0.2500 0.0323 H
0.8187 0.0309 0.5754 H
0.8187 0.4691 0.5754 H
0.0845 0.1200 0.5078 Pd
0.0845 0.3800 0.5078 Pd
0.4155 0.6200 0.0078 Pd
0.4155 0.8800 0.0078 Pd
0.5845 0.1200 0.9922 Pd
0.5845 0.3800 0.9922 Pd
0.9155 0.6200 0.4922 Pd
0.9155 0.8800 0.4922 Pd
```



(6)
Computed, not measured: an optimized crystal structure of Na3H4Pd at the PBE-GGA level of DFT.

Geometry as POSCAR:
```
Na3H4Pd
1.0
7.8937 0.0000 0.0000
0.0000 5.5560 0.0000
0.0000 0.0000 4.8036
Na H Pd
6 8 2
direct
0.0000 0.1521 0.0000 Na
0.2457 0.6983 0.9944 Na
0.2543 0.3017 0.4944 Na
0.5000 0.8479 0.5000 Na
0.7457 0.3017 0.4944 Na
0.7543 0.6983 0.9944 Na
0.0000 0.0772 0.5189 H
0.0000 0.5084 0.3077 H
0.2132 0.7564 0.5046 H
0.2868 0.2436 0.0046 H
0.5000 0.4916 0.8077 H
0.5000 0.9228 0.0189 H
0.7132 0.2436 0.0046 H
0.7868 0.7564 0.5046 H
0.0000 0.7736 0.4730 Pd
0.5000 0.2264 0.9730 Pd
```



(7)
Computed, not measured: an optimized crystal structure of Na2H4Pd at the PBE-GGA level of DFT.

Geometry as POSCAR:
```
Na2H4Pd
1.0
5.2737 0.0000 0.0000
0.0000 5.2737 0.0000
0.0000 0.0000 6.5180
Na H Pd
4 8 2
direct
0.0000 0.5000 0.2500 Na
0.0000 0.5000 0.7500 Na
0.5000 0.0000 0.2500 Na
0.5000 0.0000 0.7500 Na
0.2222 0.2222 0.0000 H
0.2222 0.7778 0.0000 H
0.2778 0.2778 0.5000 H
0.2778 0.7222 0.5000 H
0.7222 0.2778 0.5000 H
0.7222 0.7222 0.5000 H
0.7778 0.2222 0.0000 H
0.7778 0.7778 0.0000 H
0.0000 0.0000 0.0000 Pd
0.5000 0.5000 0.5000 Pd
```



(8)
Computed, not measured: an optimized crystal structure of Na2H2Pd at the PBE-GGA level of DFT.

Geometry as POSCAR:
```
Na2H2Pd
1.0
4.0639 0.0000 0.0000
0.0000 4.0639 0.0000
0.0000 0.0000 8.6520
Na H Pd
4 4 2
direct
0.0000 0.0000 0.1611 Na
0.0000 0.0000 0.8389 Na
0.5000 0.5000 0.3389 Na
0.5000 0.5000 0.6611 Na
0.0000 0.5000 0.2500 H
0.0000 0.5000 0.7500 H
0.5000 0.0000 0.2500 H
0.5000 0.0000 0.7500 H
0.0000 0.0000 0.5000 Pd
0.5000 0.5000 0.0000 Pd
```



(9)
Computed, not measured: an optimized crystal structure of NaHPd3 at the PBE-GGA level of DFT.

Geometry as POSCAR:
```
NaHPd3
1.0
5.6600 0.0000 0.0000
-0.0084 5.8153 0.0000
-2.8212 -2.9013 4.1944
Na H Pd
2 2 6
direct
0.2481 0.9999 0.9998 Na
0.7519 0.0001 0.0002 Na
0.1395 0.6413 0.2807 H
0.8605 0.3587 0.7193 H
0.2558 0.5001 0.0003 Pd
0.2574 0.0170 0.5148 Pd
0.2574 0.4982 0.5143 Pd
0.7426 0.5018 0.4857 Pd
0.7426 0.9830 0.4852 Pd
0.7442 0.4999 0.9997 Pd
```



(10)
Computed, not measured: an optimized crystal structure of Na3H4Pd at the PBE-GGA level of DFT.

Geometry as POSCAR:
```
Na3H4Pd
1.0
5.7375 0.0000 0.0000
0.0000 5.7375 0.0000
0.0000 0.0000 5.7375
Na H Pd
3 4 1
direct
0.0000 0.0000 0.5000 Na
0.0000 0.5000 0.0000 Na
0.5000 0.0000 0.0000 Na
0.1756 0.1756 0.1756 H
0.1756 0.8244 0.8244 H
0.8244 0.1756 0.8244 H
0.8244 0.8244 0.1756 H
0.0000 0.0000 0.0000 Pd
```



(11)
Computed, not measured: an optimized crystal structure of NaHPd4 at the PBE-GGA level of DFT.

Geometry as POSCAR:
```
NaHPd4
1.0
2.4834 -4.8333 0.0000
2.4834 4.8333 0.0000
-2.3631 0.0000 7.0095
Na H Pd
2 2 8
direct
0.1010 0.8990 0.7500 Na
0.8990 0.1010 0.2500 Na
0.4948 0.5052 0.7500 H
0.5052 0.4948 0.2500 H
0.0636 0.3560 0.6554 Pd
0.2648 0.5076 0.0481 Pd
0.3560 0.0636 0.1554 Pd
0.4924 0.7352 0.4519 Pd
0.5076 0.2648 0.5481 Pd
0.6440 0.9364 0.8446 Pd
0.7352 0.4924 0.9519 Pd
0.9364 0.6440 0.3446 Pd
```



(12)
Computed, not measured: an optimized crystal structure of Na5H4Pd at the PBE-GGA level of DFT.

Geometry as POSCAR:
```
Na5H4Pd
1.0
8.2450 -1.5132 0.0000
8.2450 1.5132 0.0000
-1.5495 0.0000 6.7218
Na H Pd
5 4 1
direct
0.0000 0.0000 0.0000 Na
0.3365 0.3365 0.6351 Na
0.3454 0.3454 0.2002 Na
0.6546 0.6546 0.7998 Na
0.6635 0.6635 0.3649 Na
0.1954 0.1954 0.6127 H
0.4980 0.4980 0.6535 H
0.5020 0.5020 0.3465 H
0.8046 0.8046 0.3873 H
0.0000 0.0000 0.5000 Pd
```



Per-record total magnetic moment, μB/cell: 0.0, 0.0, 0.0, 0.0, 0.0, 0.0, 0.0, 0.0, 0.0, 0.9, 0.0, 0.0
Per-record DFT total energy, eV/cell: -41.9, -40.5, -62.5, -31.7, -105.5, -48.4, -46.2, -25.4, -41.9, -23.1, -51.4, -25.9